Entry 1:
# PBE-GGA LaLuZr, optimized geometry
data_LaLuZr
_chemical_formula_sum 'La4 Lu4 Zr4'
_cell_length_a 7.399
_cell_length_b 7.399
_cell_length_c 7.399
_cell_angle_alpha 90.00
_cell_angle_beta 90.00
_cell_angle_gamma 90.00
_space_group_name_H-M_alt 'F -4 3 m'
_space_group_IT_number 216
_space_group_name_Hall 'F -4 2 3'
loop_
_atom_site_label
_atom_site_fract_x
_atom_site_fract_y
_atom_site_fract_z
_atom_site_occupancy
La1 0.000 0.000 0.000 1
Lu1 0.250 0.250 0.250 1
Zr1 0.000 0.000 0.500 1
# Energy of formation: 888 meV per atom


Entry 2:
VASP calculation (PBE-GGA) on crystalline KNa2HgF6 at its relaxed geometry.

Geometry as CIF:
```
data_KNa2HgF6
_chemical_formula_sum 'K2 Na4 Hg2 F12'
_cell_length_a 6.022
_cell_length_b 6.022
_cell_length_c 8.843
_cell_angle_alpha 90.00
_cell_angle_beta 90.00
_cell_angle_gamma 90.00
_space_group_name_H-M_alt 'I 4/m'
_space_group_IT_number 87
_space_group_name_Hall '-I 4'
loop_
_atom_site_label
_atom_site_fract_x
_atom_site_fract_y
_atom_site_fract_z
_atom_site_occupancy
K1 0.000 0.000 0.000 1
Na1 0.000 0.500 0.250 1
Hg1 0.000 0.000 0.500 1
F1 0.000 0.000 0.259 1
F2 0.121 0.659 0.500 1
```


Entry 3:
VASP calculation (PBE-GGA) on crystalline Lu4ZnCoC2 at its relaxed geometry.

Geometry as CIF:
```
data_Lu4ZnCoC2
_chemical_formula_sum 'Lu4 Zn1 Co1 C2'
_cell_length_a 3.4873
_cell_length_b 3.4873
_cell_length_c 14.0245
_cell_angle_alpha 90.00
_cell_angle_beta 90.00
_cell_angle_gamma 120.00
_space_group_name_H-M_alt 'P -6 m 2'
_space_group_IT_number 187
_space_group_name_Hall 'P -6 2'
loop_
_atom_site_label
_atom_site_fract_x
_atom_site_fract_y
_atom_site_fract_z
_atom_site_occupancy
Lu1 0.0000 0.0000 0.1386 1
Lu2 0.6667 0.3333 0.3268 1
Zn1 0.0000 0.0000 0.5000 1
Co1 0.6667 0.3333 0.0000 1
C1 0.3333 0.6667 0.2382 1
```


Entry 4:
VASP calculation (PBE-GGA) on crystalline TbPaNO at its relaxed geometry.

Geometry as CIF:
```
data_TbPaNO
_chemical_formula_sum 'Tb2 Pa2 N2 O2'
_cell_length_a 3.938
_cell_length_b 7.114
_cell_length_c 5.088
_cell_angle_alpha 90.00
_cell_angle_beta 90.00
_cell_angle_gamma 90.00
_space_group_name_H-M_alt 'P m c 21'
_space_group_IT_number 26
loop_
_space_group_symop_operation_xyz
'x,y,z'
'-x,-y,z+1/2'
'-x,y,z'
'x,-y,z+1/2'
loop_
_atom_site_label
_atom_site_fract_x
_atom_site_fract_y
_atom_site_fract_z
_atom_site_occupancy
Tb1 0.000 0.163 0.000 1
Pa1 0.500 0.345 0.500 1
N1 0.000 0.162 0.501 1
O1 0.500 0.316 0.999 1
```


Entry 5:
VASP calculation (PBE-GGA) on crystalline Nb4Cd2CN at its relaxed geometry.

Geometry as CIF:
```
data_Nb4Cd2CN
_chemical_formula_sum 'Nb4 Cd2 C1 N1'
_cell_length_a 3.1833
_cell_length_b 3.1833
_cell_length_c 14.4838
_cell_angle_alpha 90.00
_cell_angle_beta 90.00
_cell_angle_gamma 120.00
_space_group_name_H-M_alt 'P -3 m 1'
_space_group_IT_number 164
_space_group_name_Hall '-P 3 2"'
loop_
_atom_site_label
_atom_site_fract_x
_atom_site_fract_y
_atom_site_fract_z
_atom_site_occupancy
Nb1 0.3333 0.6667 0.0815 1
Nb2 0.3333 0.6667 0.4206 1
Cd1 0.3333 0.6667 0.7488 1
C1 0.0000 0.0000 0.0000 1
N1 0.0000 0.0000 0.5000 1
```


Entry 6:
VASP calculation (PBE-GGA) on crystalline Gd2Co17N3 at its relaxed geometry.

Geometry as CIF:
```
data_Gd2Co17N3
_chemical_formula_sum 'Gd6 Co51 N9'
_cell_length_a 8.5103
_cell_length_b 8.5103
_cell_length_c 12.3376
_cell_angle_alpha 90.00
_cell_angle_beta 90.00
_cell_angle_gamma 120.00
_space_group_name_H-M_alt 'R -3 m'
_space_group_IT_number 166
_space_group_name_Hall '-R 3 2"'
loop_
_atom_site_label
_atom_site_fract_x
_atom_site_fract_y
_atom_site_fract_z
_atom_site_occupancy
Gd1 0.0000 0.0000 0.1569 1
Co1 0.0000 0.0000 0.4061 1
Co2 0.0000 0.2796 0.5000 1
Co3 0.0000 0.5000 0.0000 1
Co4 0.0135 0.5068 0.3486 1
N1 0.0000 0.5000 0.5000 1
```


Entry 7:
VASP calculation (PBE-GGA) on crystalline ZrBi at its relaxed geometry.

Geometry as CIF:
```
data_ZrBi
_chemical_formula_sum 'Zr4 Bi4'
_cell_length_a 6.666
_cell_length_b 6.666
_cell_length_c 6.666
_cell_angle_alpha 90.00
_cell_angle_beta 90.00
_cell_angle_gamma 90.00
_space_group_name_H-M_alt 'F -4 3 m'
_space_group_IT_number 216
_space_group_name_Hall 'F -4 2 3'
loop_
_atom_site_label
_atom_site_fract_x
_atom_site_fract_y
_atom_site_fract_z
_atom_site_occupancy
Zr1 0.000 0.000 0.000 1
Bi1 0.250 0.250 0.250 1
```


Entry 8:
VASP calculation (PBE-GGA) on crystalline Re4Ge7 at its relaxed geometry.

Geometry as CIF:
```
data_Re4Ge7
_chemical_formula_sum 'Re16 Ge28'
_cell_length_a 5.977
_cell_length_b 5.977
_cell_length_c 19.076
_cell_angle_alpha 90.00
_cell_angle_beta 90.00
_cell_angle_gamma 90.00
_space_group_name_H-M_alt 'P -4 c 2'
_space_group_IT_number 116
loop_
_space_group_symop_operation_xyz
'x,y,z'
'y,-x,-z'
'-x,-y,z'
'-y,x,-z'
'-x,y,z+1/2'
'-y,-x,-z+1/2'
'x,-y,z+1/2'
'y,x,-z+1/2'
loop_
_atom_site_label
_atom_site_fract_x
_atom_site_fract_y
_atom_site_fract_z
_atom_site_occupancy
Re1 0.000 0.000 0.000 1
Re2 0.000 0.000 0.250 1
Re3 0.000 0.500 0.064 1
Re4 0.000 0.500 0.306 1
Re5 0.500 0.500 0.130 1
Ge1 0.148 0.204 0.388 1
Ge2 0.152 0.323 0.682 1
Ge3 0.235 0.348 0.963 1
Ge4 0.339 0.339 0.250 1
```


Entry 9:
VASP calculation (PBE-GGA) on crystalline Gd3DyHo2Te2Pd at its relaxed geometry.

Geometry as CIF:
```
data_Gd3DyHo2Te2Pd
_chemical_formula_sum 'Gd6 Dy2 Ho4 Te4 Pd2'
_cell_length_a 3.965
_cell_length_b 14.637
_cell_length_c 8.440
_cell_angle_alpha 90.00
_cell_angle_beta 90.00
_cell_angle_gamma 90.00
_space_group_name_H-M_alt 'A m m 2'
_space_group_IT_number 38
loop_
_space_group_symop_operation_xyz
'x,y,z'
'-x,-y,z'
'-x,y,z'
'x,-y,z'
'x,y+1/2,z+1/2'
'-x,-y+1/2,z+1/2'
'-x,y+1/2,z+1/2'
'x,-y+1/2,z+1/2'
loop_
_atom_site_label
_atom_site_fract_x
_atom_site_fract_y
_atom_site_fract_z
_atom_site_occupancy
Gd1 0.000 0.000 0.000 1
Gd2 0.000 0.202 0.395 1
Dy1 0.500 0.000 0.350 1
Ho1 0.500 0.123 0.720 1
Te1 0.500 0.167 0.096 1
Pd1 0.000 0.000 0.598 1
```


Entry 10:
VASP calculation (PBE-GGA) on crystalline NdNiGe2Ir at its relaxed geometry.

Geometry as CIF:
```
data_NdNiGe2Ir
_chemical_formula_sum 'Nd2 Ni2 Ge4 Ir2'
_cell_length_a 4.202
_cell_length_b 4.202
_cell_length_c 9.930
_cell_angle_alpha 90.00
_cell_angle_beta 90.00
_cell_angle_gamma 90.00
_space_group_name_H-M_alt 'P 4/n m m'
_space_group_IT_number 129
loop_
_space_group_symop_operation_xyz
'x,y,z'
'-x,-y,-z'
'-y+1/2,x,z'
'y+1/2,-x,-z'
'-x+1/2,-y+1/2,z'
'x+1/2,y+1/2,-z'
'y,-x+1/2,z'
'-y,x+1/2,-z'
'x+1/2,-y,-z'
'-x+1/2,y,z'
'-y,-x,-z'
'y,x,z'
'-x,y+1/2,-z'
'x,-y+1/2,z'
'y+1/2,x+1/2,-z'
'-y+1/2,-x+1/2,z'
loop_
_atom_site_label
_atom_site_fract_x
_atom_site_fract_y
_atom_site_fract_z
_atom_site_occupancy
Nd1 0.250 0.250 0.241 1
Ni1 0.250 0.250 0.879 1
Ge1 0.250 0.250 0.639 1
Ge2 0.250 0.750 0.000 1
Ir1 0.250 0.750 0.500 1
```


Entry 11:
VASP calculation (PBE-GGA) on crystalline Y2GePt at its relaxed geometry.

Geometry as CIF:
```
data_Y2GePt
_chemical_formula_sum 'Y8 Ge4 Pt4'
_cell_length_a 6.973
_cell_length_b 6.973
_cell_length_c 6.973
_cell_angle_alpha 90.00
_cell_angle_beta 90.00
_cell_angle_gamma 90.00
_space_group_name_H-M_alt 'F -4 3 m'
_space_group_IT_number 216
_space_group_name_Hall 'F -4 2 3'
loop_
_atom_site_label
_atom_site_fract_x
_atom_site_fract_y
_atom_site_fract_z
_atom_site_occupancy
Y1 0.000 0.000 0.000 1
Y2 0.250 0.250 0.250 1
Ge1 0.000 0.000 0.500 1
Pt1 0.250 0.250 0.750 1
```


Entry 12:
# PBE-GGA LuNbCoAu, optimized geometry
data_LuNbCoAu
_chemical_formula_sum 'Lu4 Nb4 Co4 Au4'
_cell_length_a 6.594
_cell_length_b 6.594
_cell_length_c 6.594
_cell_angle_alpha 90.00
_cell_angle_beta 90.00
_cell_angle_gamma 90.00
_space_group_name_H-M_alt 'F -4 3 m'
_space_group_IT_number 216
_space_group_name_Hall 'F -4 2 3'
loop_
_atom_site_label
_atom_site_fract_x
_atom_site_fract_y
_atom_site_fract_z
_atom_site_occupancy
Lu1 0.000 0.000 0.000 1
Nb1 0.000 0.000 0.500 1
Co1 0.250 0.250 0.750 1
Au1 0.250 0.250 0.250 1
# Energy of formation: -88 meV per atom


Entry 13:
VASP calculation (PBE-GGA) on crystalline HfSbAs2 at its relaxed geometry.

Geometry as CIF:
```
data_HfSbAs2
_chemical_formula_sum 'Hf4 Sb4 As8'
_cell_length_a 6.973
_cell_length_b 6.973
_cell_length_c 6.973
_cell_angle_alpha 90.00
_cell_angle_beta 90.00
_cell_angle_gamma 90.00
_space_group_name_H-M_alt 'F -4 3 m'
_space_group_IT_number 216
_space_group_name_Hall 'F -4 2 3'
loop_
_atom_site_label
_atom_site_fract_x
_atom_site_fract_y
_atom_site_fract_z
_atom_site_occupancy
Hf1 0.000 0.000 0.000 1
Sb1 0.250 0.250 0.750 1
As1 0.000 0.000 0.500 1
As2 0.250 0.250 0.250 1
```


Entry 14:
VASP calculation (PBE-GGA) on crystalline YInCoAu at its relaxed geometry.

Geometry as CIF:
```
data_YInCoAu
_chemical_formula_sum 'Y4 In4 Co4 Au4'
_cell_length_a 6.785
_cell_length_b 6.785
_cell_length_c 6.785
_cell_angle_alpha 90.00
_cell_angle_beta 90.00
_cell_angle_gamma 90.00
_space_group_name_H-M_alt 'F -4 3 m'
_space_group_IT_number 216
_space_group_name_Hall 'F -4 2 3'
loop_
_atom_site_label
_atom_site_fract_x
_atom_site_fract_y
_atom_site_fract_z
_atom_site_occupancy
Y1 0.000 0.000 0.000 1
In1 0.250 0.250 0.250 1
Co1 0.000 0.000 0.500 1
Au1 0.250 0.250 0.750 1
```


Entry 15:
VASP calculation (PBE-GGA) on crystalline TmLuCSe at its relaxed geometry.

Geometry as CIF:
```
data_TmLuCSe
_chemical_formula_sum 'Tm2 Lu2 C2 Se2'
_cell_length_a 3.6817
_cell_length_b 3.6817
_cell_length_c 12.9925
_cell_angle_alpha 90.00
_cell_angle_beta 90.00
_cell_angle_gamma 120.00
_space_group_name_H-M_alt 'P 63 m c'
_space_group_IT_number 186
_space_group_name_Hall 'P 6c -2c'
loop_
_atom_site_label
_atom_site_fract_x
_atom_site_fract_y
_atom_site_fract_z
_atom_site_occupancy
Tm1 0.3333 0.6667 0.0000 1
Lu1 0.3333 0.6667 0.3018 1
C1 0.0000 0.0000 0.4001 1
Se1 0.3333 0.6667 0.6522 1
```


Entry 16:
VASP calculation (PBE-GGA) on crystalline Co15Bi at its relaxed geometry.

Geometry as CIF:
```
data_Co15Bi
_chemical_formula_sum 'Co30 Bi2'
_cell_length_a 6.486
_cell_length_b 2.656
_cell_length_c 33.685
_cell_angle_alpha 90.00
_cell_angle_beta 90.03
_cell_angle_gamma 90.00
_space_group_name_H-M_alt 'P 1 21/m 1'
_space_group_IT_number 11
loop_
_space_group_symop_operation_xyz
'x,y,z'
'-x,-y,-z'
'-x,y+1/2,-z'
'x,-y+1/2,z'
loop_
_atom_site_label
_atom_site_fract_x
_atom_site_fract_y
_atom_site_fract_z
_atom_site_occupancy
Co1 0.118 0.250 0.244 1
Co2 0.124 0.250 0.094 1
Co3 0.124 0.250 0.944 1
Co4 0.125 0.250 0.797 1
Co5 0.125 0.250 0.869 1
Co6 0.126 0.250 0.018 1
Co7 0.128 0.250 0.168 1
Co8 0.368 0.750 0.756 1
Co9 0.374 0.750 0.056 1
Co10 0.374 0.750 0.907 1
Co11 0.375 0.750 0.130 1
Co12 0.375 0.750 0.208 1
Co13 0.375 0.750 0.278 1
Co14 0.376 0.750 0.981 1
Co15 0.377 0.750 0.832 1
Bi1 0.125 0.250 0.700 1
```


Entry 17:
VASP calculation (PBE-GGA) on crystalline DyAlO3 at its relaxed geometry.

Geometry as CIF:
```
data_DyAlO3
_chemical_formula_sum 'Dy4 Al4 O12'
_cell_length_a 5.362
_cell_length_b 8.353
_cell_length_c 5.374
_cell_angle_alpha 90.00
_cell_angle_beta 90.00
_cell_angle_gamma 90.00
_space_group_name_H-M_alt 'P n m a'
_space_group_IT_number 62
loop_
_space_group_symop_operation_xyz
'x,y,z'
'-x,-y,-z'
'-x+1/2,-y,z+1/2'
'x+1/2,y,-z+1/2'
'x+1/2,-y+1/2,-z+1/2'
'-x+1/2,y+1/2,z+1/2'
'-x,y+1/2,-z'
'x,-y+1/2,z'
loop_
_atom_site_label
_atom_site_fract_x
_atom_site_fract_y
_atom_site_fract_z
_atom_site_occupancy
Dy1 0.000 0.000 0.000 1
Al1 0.016 0.250 0.469 1
O1 0.141 0.091 0.640 1
O2 0.194 0.250 0.164 1
```


Entry 18:
VASP calculation (PBE-GGA) on crystalline LiLuRe2 at its relaxed geometry.

Geometry as CIF:
```
data_LiLuRe2
_chemical_formula_sum 'Li4 Lu4 Re8'
_cell_length_a 6.361
_cell_length_b 6.361
_cell_length_c 6.361
_cell_angle_alpha 90.00
_cell_angle_beta 90.00
_cell_angle_gamma 90.00
_space_group_name_H-M_alt 'F -4 3 m'
_space_group_IT_number 216
_space_group_name_Hall 'F -4 2 3'
loop_
_atom_site_label
_atom_site_fract_x
_atom_site_fract_y
_atom_site_fract_z
_atom_site_occupancy
Li1 0.000 0.000 0.000 1
Lu1 0.250 0.250 0.250 1
Re1 0.000 0.000 0.500 1
Re2 0.250 0.250 0.750 1
```


Entry 19:
VASP calculation (PBE-GGA) on crystalline LuTaCuPb at its relaxed geometry.

Geometry as CIF:
```
data_LuTaCuPb
_chemical_formula_sum 'Lu4 Ta4 Cu4 Pb4'
_cell_length_a 6.973
_cell_length_b 6.973
_cell_length_c 6.973
_cell_angle_alpha 90.00
_cell_angle_beta 90.00
_cell_angle_gamma 90.00
_space_group_name_H-M_alt 'F -4 3 m'
_space_group_IT_number 216
_space_group_name_Hall 'F -4 2 3'
loop_
_atom_site_label
_atom_site_fract_x
_atom_site_fract_y
_atom_site_fract_z
_atom_site_occupancy
Lu1 0.000 0.000 0.000 1
Ta1 0.250 0.250 0.250 1
Cu1 0.250 0.250 0.750 1
Pb1 0.000 0.000 0.500 1
```


Entry 20:
VASP calculation (PBE-GGA) on crystalline LiAsPd2 at its relaxed geometry.

Geometry as CIF:
```
data_LiAsPd2
_chemical_formula_sum 'Li2 As2 Pd4'
_cell_length_a 4.2711
_cell_length_b 4.2711
_cell_length_c 8.2539
_cell_angle_alpha 90.00
_cell_angle_beta 90.00
_cell_angle_gamma 120.00
_space_group_name_H-M_alt 'P 63/m m c'
_space_group_IT_number 194
_space_group_name_Hall '-P 6c 2c'
loop_
_atom_site_label
_atom_site_fract_x
_atom_site_fract_y
_atom_site_fract_z
_atom_site_occupancy
Li1 0.3333 0.6667 0.2500 1
As1 0.0000 0.0000 0.0000 1
Pd1 0.3333 0.6667 0.5801 1
```


no.,electronic total energy (eV for the cell shown)
1,-61.3
2,-69.8
3,-46.4
4,-67.0
5,-63.0
6,-476.0
7,-46.9
8,-326.3
9,-93.3
10,-64.6
11,-100.2
12,-101.4
13,-90.7
14,-80.4
15,-53.0
16,-214.9
17,-154.4
18,-123.2
19,-86.1
20,-37.4